(1)
Here is crystalline HgClF2 at its relaxed geometry from Alexandria. Energies are from PBE-GGA.

abc: 9.9759 9.9759 9.9759
angles: 19.62 19.62 19.62
Last column: nearest neighbours and their distance in Å.
Element x y z (fractional)
Cl (0.5000, 0.5000, 0.5000)  6 Cl 3.40, 6 F 3.53
F (0.0665, 0.0665, 0.0665)  1 Hg 1.95
F (0.9335, 0.9335, 0.9335)  1 Hg 1.95
Hg (0.0000, 0.0000, 0.0000)  2 F 1.95

Properties
Space-group type = No. 166
Energy above the most stable polymorph in this dataset = 562 meV/atom
D(E_F) = 1.177 states/eV/f.u.
Formation energy from raw total energies = -0.469 eV per atom


(2)
Here is crystalline BaTa3Bi at its relaxed geometry from Alexandria. Energies are from PBE-GGA.

abc: 5.1516 5.1516 5.1516
angles: 90.00 90.00 90.00
Last column: nearest neighbours and their distance in Å.
Element x y z (fractional)
Ta (0.0000, 0.0000, 0.5000)  2 Ba 2.58
Ta (0.5000, 0.0000, 0.0000)  2 Ba 2.58
Ba (0.0000, 0.0000, 0.0000)  6 Ta 2.58
Bi (0.5000, 0.5000, 0.5000)  12 Ta 3.64
Ta (0.0000, 0.5000, 0.0000)  2 Ba 2.58

Properties
ΔE_f = 2737 meV per atom
Space-group type = No. 221
Energy above the most stable polymorph in this dataset = 799 meV/atom
D(E_F) = 3.006 states/eV/f.u.